A plane-wave DFT calculation with PBE-GGA was carried out for a geometry-optimized AcYErTh structure.

a = 5.810 Å, b = 5.810 Å, c = 5.810 Å
α = 60.00°, β = 60.00°, γ = 60.00°
Atoms (fractional coordinates):
Y (0.500, 0.500, 0.500)
Ac (0.750, 0.750, 0.750)
Th (0.250, 0.250, 0.250)
Er (0.000, 0.000, 0.000)

- Space group: F-43m (216)
- Formation energy: 0.13 eV/atom
- Fermi-level density of states: 6.56 states/eV per cell
- Mass density: 8.6 g/cm3